Entry 1:
Below is a crystal of Cs2PdO relaxed with PBEsol, with properties calculated at the meta-GGA SCAN level.

Output
* density of states at the Fermi level: 24.3 states/eV/cell
* raw total energy: -28.74 eV per atom
* space group: No. 225
* E_form (uncorrected): -0.080 eV per atom

Lattice parameters (Å, degrees): 7.229 7.229 7.229 90.00 90.00 90.00
Element x y z (fractional)
Cs  0.250  0.250  0.250
Cs  0.250  0.250  0.750
Cs  0.250  0.750  0.250
Cs  0.250  0.750  0.750
Cs  0.750  0.250  0.250
Cs  0.750  0.250  0.750
Cs  0.750  0.750  0.250
Cs  0.750  0.750  0.750
Pd  0.000  0.000  0.000
Pd  0.000  0.500  0.500
Pd  0.500  0.000  0.500
Pd  0.500  0.500  0.000
O  0.000  0.000  0.500
O  0.000  0.500  0.000
O  0.500  0.000  0.000
O  0.500  0.500  0.500


Entry 2:
Below is a crystal of CsPrS2O8 relaxed with PBEsol, with properties calculated at the meta-GGA SCAN level.

Output
* density of states at the Fermi level: 0.0 states/eV/cell
* raw total energy: -14.89 eV per atom
* space group: No. 52
* E_form (uncorrected): -2.368 eV per atom

Lattice parameters (Å, degrees): 9.578 14.011 5.462 90.00 90.00 90.00
Element x y z (fractional)
Cs  0.076  0.250  0.250
Cs  0.424  0.750  0.250
Cs  0.576  0.250  0.750
Cs  0.924  0.750  0.750
Pr  0.250  0.000  0.674
Pr  0.250  0.500  0.826
Pr  0.750  0.000  0.326
Pr  0.750  0.500  0.174
S  0.086  0.585  0.264
S  0.086  0.915  0.236
S  0.414  0.085  0.236
S  0.414  0.415  0.264
S  0.586  0.585  0.736
S  0.586  0.915  0.764
S  0.914  0.085  0.764
S  0.914  0.415  0.736
O  0.063  0.114  0.777
O  0.063  0.386  0.723
O  0.096  0.018  0.305
O  0.096  0.482  0.195
O  0.152  0.602  0.505
O  0.152  0.898  0.995
O  0.159  0.640  0.067
O  0.159  0.860  0.433
O  0.341  0.140  0.433
O  0.341  0.360  0.067
O  0.348  0.102  0.995
O  0.348  0.398  0.505
O  0.404  0.518  0.195
O  0.404  0.982  0.305
O  0.437  0.614  0.723
O  0.437  0.886  0.777
O  0.563  0.114  0.223
O  0.563  0.386  0.277
O  0.596  0.018  0.695
O  0.596  0.482  0.805
O  0.652  0.602  0.495
O  0.652  0.898  0.005
O  0.659  0.640  0.933
O  0.659  0.860  0.567
O  0.841  0.140  0.567
O  0.841  0.360  0.933
O  0.848  0.102  0.005
O  0.848  0.398  0.495
O  0.904  0.518  0.805
O  0.904  0.982  0.695
O  0.937  0.614  0.277
O  0.937  0.886  0.223


Entry 3:
Below is a crystal of CsPrW2O8 relaxed with PBEsol, with properties calculated at the meta-GGA SCAN level.

Output
* density of states at the Fermi level: 0.0 states/eV/cell
* raw total energy: -25.24 eV per atom
* space group: No. 15
* E_form (uncorrected): -2.707 eV per atom

Lattice parameters (Å, degrees): 7.670 7.670 7.612 117.10 117.10 90.02
Element x y z (fractional)
Cs  0.198  0.802  0.750
Cs  0.802  0.198  0.250
Pr  0.227  0.773  0.250
Pr  0.773  0.227  0.750
W  0.305  0.313  0.274
W  0.313  0.305  0.774
W  0.687  0.695  0.226
W  0.695  0.687  0.726
O  0.059  0.210  0.697
O  0.075  0.389  0.139
O  0.210  0.059  0.197
O  0.252  0.378  0.563
O  0.371  0.581  0.025
O  0.378  0.252  0.063
O  0.389  0.075  0.639
O  0.419  0.629  0.475
O  0.581  0.371  0.525
O  0.611  0.925  0.361
O  0.622  0.748  0.937
O  0.629  0.419  0.975
O  0.748  0.622  0.437
O  0.790  0.941  0.803
O  0.925  0.611  0.861
O  0.941  0.790  0.303


Entry 4:
Below is a crystal of Cs2PuO4 relaxed with PBEsol, with properties calculated at the meta-GGA SCAN level.

Output
* density of states at the Fermi level: 6.8 states/eV/cell
* raw total energy: -32.56 eV per atom
* space group: No. 139
* E_form (uncorrected): -2.462 eV per atom

Lattice parameters (Å, degrees): 4.328 4.328 14.779 90.00 90.00 90.00
Element x y z (fractional)
Cs  0.000  0.000  0.154
Cs  0.000  0.000  0.846
Cs  0.500  0.500  0.346
Cs  0.500  0.500  0.654
Pu  0.000  0.000  0.500
Pu  0.500  0.500  0.000
O  0.000  0.000  0.371
O  0.000  0.000  0.629
O  0.000  0.500  0.000
O  0.000  0.500  0.500
O  0.500  0.000  0.000
O  0.500  0.000  0.500
O  0.500  0.500  0.129
O  0.500  0.500  0.871


Entry 5:
Below is a crystal of CsRbO3 relaxed with PBEsol, with properties calculated at the meta-GGA SCAN level.

Output
* density of states at the Fermi level: 6.9 states/eV/cell
* raw total energy: -15.58 eV per atom
* space group: No. 221
* E_form (uncorrected): -0.136 eV per atom

Lattice parameters (Å, degrees): 5.005 5.005 5.005 90.00 90.00 90.00
Element x y z (fractional)
Cs  0.000  0.000  0.000
Rb  0.500  0.500  0.500
O  0.000  0.500  0.500
O  0.500  0.000  0.500
O  0.500  0.500  0.000


Entry 6:
Below is a crystal of CsRbO relaxed with PBEsol, with properties calculated at the meta-GGA SCAN level.

Output
* density of states at the Fermi level: 0.0 states/eV/cell
* raw total energy: -22.65 eV per atom
* space group: No. 62
* E_form (uncorrected): -1.060 eV per atom

Lattice parameters (Å, degrees): 6.903 4.865 9.815 90.00 90.00 90.00
Element x y z (fractional)
Cs  0.109  0.250  0.117
Cs  0.391  0.750  0.617
Cs  0.609  0.250  0.383
Cs  0.891  0.750  0.883
Rb  0.015  0.750  0.374
Rb  0.485  0.250  0.874
Rb  0.515  0.750  0.126
Rb  0.985  0.250  0.626
O  0.215  0.250  0.405
O  0.285  0.750  0.905
O  0.715  0.250  0.095
O  0.785  0.750  0.595


Entry 7:
Below is a crystal of Cs3ReO5 relaxed with PBEsol, with properties calculated at the meta-GGA SCAN level.

Output
* density of states at the Fermi level: 0.0 states/eV/cell
* raw total energy: -25.90 eV per atom
* space group: No. 63
* E_form (uncorrected): -1.935 eV per atom

Lattice parameters (Å, degrees): 6.496 6.496 9.048 90.00 90.00 84.08
Element x y z (fractional)
Cs  0.199  0.801  0.750
Cs  0.267  0.267  0.000
Cs  0.267  0.267  0.500
Cs  0.733  0.733  0.000
Cs  0.733  0.733  0.500
Cs  0.801  0.199  0.250
Re  0.256  0.744  0.250
Re  0.744  0.256  0.750
O  0.056  0.557  0.250
O  0.158  0.842  0.074
O  0.158  0.842  0.426
O  0.443  0.944  0.250
O  0.464  0.536  0.250
O  0.536  0.464  0.750
O  0.557  0.056  0.750
O  0.842  0.158  0.574
O  0.842  0.158  0.926
O  0.944  0.443  0.750


Entry 8:
Below is a crystal of CsRhO2 relaxed with PBEsol, with properties calculated at the meta-GGA SCAN level.

Output
* density of states at the Fermi level: 13.1 states/eV/cell
* raw total energy: -20.48 eV per atom
* space group: No. 225
* E_form (uncorrected): 0.528 eV per atom

Lattice parameters (Å, degrees): 6.141 6.141 6.141 90.00 90.00 90.00
Element x y z (fractional)
Cs  0.000  0.000  0.000
Cs  0.000  0.500  0.500
Cs  0.500  0.000  0.500
Cs  0.500  0.500  0.000
Rh  0.000  0.000  0.500
Rh  0.000  0.500  0.000
Rh  0.500  0.000  0.000
Rh  0.500  0.500  0.500
O  0.250  0.250  0.250
O  0.250  0.250  0.750
O  0.250  0.750  0.250
O  0.250  0.750  0.750
O  0.750  0.250  0.250
O  0.750  0.250  0.750
O  0.750  0.750  0.250
O  0.750  0.750  0.750


Entry 9:
Below is a crystal of CsScRh2O relaxed with PBEsol, with properties calculated at the meta-GGA SCAN level.

Output
* density of states at the Fermi level: 3.2 states/eV/cell
* raw total energy: -25.15 eV per atom
* space group: No. 123
* E_form (uncorrected): 0.014 eV per atom

Lattice parameters (Å, degrees): 4.960 4.960 4.023 90.00 90.00 90.00
Element x y z (fractional)
Cs  0.000  0.000  0.000
Sc  0.500  0.500  0.500
Rh  0.000  0.500  0.500
Rh  0.500  0.000  0.500
O  0.500  0.500  0.000


Entry 10:
Below is a crystal of CsRuO3 relaxed with PBEsol, with properties calculated at the meta-GGA SCAN level.

Output
* density of states at the Fermi level: 2.8 states/eV/cell
* raw total energy: -19.32 eV per atom
* space group: No. 221
* E_form (uncorrected): -1.052 eV per atom

Lattice parameters (Å, degrees): 3.988 3.988 3.988 90.00 90.00 90.00
Element x y z (fractional)
Cs  0.000  0.000  0.000
Ru  0.500  0.500  0.500
O  0.000  0.500  0.500
O  0.500  0.000  0.500
O  0.500  0.500  0.000


Entry 11:
Below is a crystal of Cs2RuO4 relaxed with PBEsol, with properties calculated at the meta-GGA SCAN level.

Output
* raw total energy: -20.86 eV per atom
* space group: No. 62
* E_form (uncorrected): -1.524 eV per atom

Lattice parameters (Å, degrees): 8.431 6.406 11.396 90.00 90.00 90.00
Element x y z (fractional)
Cs  0.008  0.250  0.203
Cs  0.164  0.750  0.418
Cs  0.336  0.250  0.918
Cs  0.492  0.750  0.703
Cs  0.508  0.250  0.297
Cs  0.664  0.750  0.082
Cs  0.836  0.250  0.582
Cs  0.992  0.750  0.797
Ru  0.223  0.750  0.079
Ru  0.277  0.250  0.579
Ru  0.723  0.750  0.421
Ru  0.777  0.250  0.921
O  0.014  0.750  0.080
O  0.200  0.250  0.433
O  0.201  0.023  0.649
O  0.201  0.477  0.649
O  0.299  0.523  0.149
O  0.299  0.977  0.149
O  0.300  0.750  0.933
O  0.486  0.250  0.580
O  0.514  0.750  0.420
O  0.700  0.250  0.067
O  0.701  0.023  0.851
O  0.701  0.477  0.851
O  0.799  0.523  0.351
O  0.799  0.977  0.351
O  0.800  0.750  0.567
O  0.986  0.250  0.920


Entry 12:
Below is a crystal of CsRuO3 relaxed with PBEsol, with properties calculated at the meta-GGA SCAN level.

Output
* density of states at the Fermi level: 5.9 states/eV/cell
* raw total energy: -16.90 eV per atom
* space group: No. 221
* E_form (uncorrected): 1.364 eV per atom

Lattice parameters (Å, degrees): 4.401 4.401 4.401 90.00 90.00 90.00
Element x y z (fractional)
Cs  0.000  0.000  0.000
Ru  0.500  0.500  0.500
O  0.000  0.000  0.500
O  0.000  0.500  0.000
O  0.500  0.000  0.000


Entry 13:
Below is a crystal of CsZn2RuO relaxed with PBEsol, with properties calculated at the meta-GGA SCAN level.

Output
* density of states at the Fermi level: 5.9 states/eV/cell
* raw total energy: -19.10 eV per atom
* space group: No. 123
* E_form (uncorrected): 2.078 eV per atom

Lattice parameters (Å, degrees): 6.475 6.475 5.142 90.00 90.00 90.00
Element x y z (fractional)
Cs  0.000  0.000  0.000
Zn  0.000  0.500  0.000
Zn  0.500  0.000  0.000
Ru  0.000  0.000  0.500
O  0.500  0.500  0.500


Entry 14:
Below is a crystal of CsS2O4 relaxed with PBEsol, with properties calculated at the meta-GGA SCAN level.

Output
* density of states at the Fermi level: 0.0 states/eV/cell
* raw total energy: -13.29 eV per atom
* space group: No. 14
* E_form (uncorrected): -1.581 eV per atom

Lattice parameters (Å, degrees): 9.558 15.520 7.639 90.00 99.36 90.00
Element x y z (fractional)
Cs  0.088  0.100  0.229
Cs  0.088  0.400  0.729
Cs  0.412  0.601  0.158
Cs  0.412  0.899  0.658
Cs  0.588  0.101  0.342
Cs  0.588  0.399  0.842
Cs  0.912  0.600  0.271
Cs  0.912  0.900  0.771
S  0.041  0.634  0.825
S  0.041  0.866  0.325
S  0.213  0.705  0.747
S  0.213  0.795  0.247
S  0.319  0.608  0.623
S  0.319  0.892  0.123
S  0.322  0.177  0.725
S  0.322  0.323  0.225
S  0.678  0.677  0.775
S  0.678  0.823  0.275
S  0.681  0.108  0.877
S  0.681  0.392  0.377
S  0.787  0.205  0.753
S  0.787  0.295  0.253
S  0.959  0.134  0.675
S  0.959  0.366  0.175
O  0.023  0.085  0.829
O  0.023  0.415  0.329
O  0.047  0.205  0.626
O  0.047  0.295  0.126
O  0.104  0.581  0.975
O  0.104  0.919  0.475
O  0.227  0.581  0.462
O  0.227  0.919  0.962
O  0.339  0.116  0.585
O  0.339  0.384  0.085
O  0.349  0.233  0.184
O  0.349  0.267  0.684
O  0.354  0.539  0.753
O  0.354  0.961  0.253
O  0.442  0.658  0.586
O  0.442  0.842  0.086
O  0.558  0.158  0.914
O  0.558  0.342  0.414
O  0.646  0.039  0.747
O  0.646  0.461  0.247
O  0.651  0.733  0.316
O  0.651  0.767  0.816
O  0.661  0.616  0.915
O  0.661  0.884  0.415
O  0.773  0.081  0.038
O  0.773  0.419  0.538
O  0.896  0.081  0.525
O  0.896  0.419  0.025
O  0.953  0.705  0.874
O  0.953  0.795  0.374
O  0.977  0.585  0.671
O  0.977  0.915  0.171


Entry 15:
Below is a crystal of Cs2SO4 relaxed with PBEsol, with properties calculated at the meta-GGA SCAN level.

Output
* density of states at the Fermi level: 0.0 states/eV/cell
* raw total energy: -17.86 eV per atom
* distance to the lowest polymorph of the same formula: 0 meV/atom
* space group: No. 62
* E_form (uncorrected): -2.124 eV per atom

Lattice parameters (Å, degrees): 8.198 6.198 10.856 90.00 90.00 90.00
Element x y z (fractional)
Cs  0.011  0.250  0.198
Cs  0.173  0.750  0.409
Cs  0.327  0.250  0.909
Cs  0.489  0.750  0.698
Cs  0.511  0.250  0.302
Cs  0.673  0.750  0.091
Cs  0.827  0.250  0.591
Cs  0.989  0.750  0.802
S  0.240  0.750  0.082
S  0.260  0.250  0.582
S  0.740  0.750  0.418
S  0.760  0.250  0.918
O  0.059  0.750  0.087
O  0.196  0.053  0.646
O  0.196  0.447  0.646
O  0.202  0.250  0.452
O  0.298  0.750  0.952
O  0.304  0.553  0.146
O  0.304  0.947  0.146
O  0.441  0.250  0.587
O  0.559  0.750  0.413
O  0.696  0.053  0.854
O  0.696  0.447  0.854
O  0.702  0.250  0.048
O  0.798  0.750  0.548
O  0.804  0.553  0.354
O  0.804  0.947  0.354
O  0.941  0.250  0.913


Entry 16:
Below is a crystal of Cs2SO4 relaxed with PBEsol, with properties calculated at the meta-GGA SCAN level.

Output
* density of states at the Fermi level: 0.0 states/eV/cell
* raw total energy: -17.81 eV per atom
* distance to the lowest polymorph of the same formula: 52 meV/atom
* space group: No. 62
* E_form (uncorrected): -2.072 eV per atom

Lattice parameters (Å, degrees): 13.260 6.116 7.927 90.00 90.00 90.00
Element x y z (fractional)
Cs  0.037  0.250  0.162
Cs  0.174  0.750  0.474
Cs  0.326  0.250  0.974
Cs  0.463  0.750  0.662
Cs  0.537  0.250  0.338
Cs  0.674  0.750  0.026
Cs  0.826  0.250  0.526
Cs  0.963  0.750  0.838
S  0.092  0.250  0.716
S  0.408  0.750  0.216
S  0.592  0.250  0.784
S  0.908  0.750  0.284
O  0.014  0.750  0.217
O  0.089  0.250  0.528
O  0.144  0.051  0.779
O  0.144  0.449  0.779
O  0.356  0.551  0.279
O  0.356  0.949  0.279
O  0.411  0.750  0.028
O  0.486  0.250  0.717
O  0.514  0.750  0.283
O  0.589  0.250  0.972
O  0.644  0.051  0.721
O  0.644  0.449  0.721
O  0.856  0.551  0.221
O  0.856  0.949  0.221
O  0.911  0.750  0.472
O  0.986  0.250  0.783